# 1
Pr3Sn2Ge2 | GGA-PBE | relaxed

Unit cell a=6.2329 b=6.2329 c=8.0305 alpha=111.58 beta=111.58 gamma=42.54
With the nearest neighbours (Å) after each atom.
Fractional positions:
1 Pr 0.0000 0.0000 0.0000  6 Ge 3.32-3.44, 4 Sn 3.43
2 Pr 0.1811 0.1811 0.6491  3 Ge 3.12-3.14, 5 Sn 3.18-3.47
3 Pr 0.8189 0.8189 0.3509  3 Ge 3.12-3.14, 5 Sn 3.18-3.47
4 Sn 0.4579 0.4579 0.6600  1 Ge 2.76
5 Sn 0.5421 0.5421 0.3400  1 Ge 2.76
6 Ge 0.3026 0.3026 0.0747  2 Ge 2.62, 1 Sn 2.76
7 Ge 0.6974 0.6974 0.9253  2 Ge 2.62, 1 Sn 2.76

## Properties
Total energy = -5.225 eV/atom
Energy relative to the elements = -714 meV per atom
Magnetic moment = 0.0 Bohr magnetons per cell



# 2
LiErPS4 | GGA-PBE | relaxed

Unit cell a=7.3926 b=7.3926 c=7.3926 alpha=120.01 beta=118.17 gamma=91.59
With the nearest neighbours (Å) after each atom.
Fractional positions:
1 Li 0.5000 0.0000 0.0000  6 S 2.56-2.73
2 Li 0.5000 0.5000 0.5000  6 S 2.56-2.73
3 Er 0.0000 0.0000 0.0000  6 S 2.69-2.72
4 Er 0.5000 0.0000 0.5000  6 S 2.69-2.72
5 P 0.1186 0.3686 0.7500  4 S 2.09-2.26
6 P 0.8814 0.6314 0.2500  4 S 2.09-2.26
7 S 0.2221 0.7368 0.4853  1 P 2.09
8 S 0.2485 0.2632 0.9853  1 P 2.09
9 S 0.2522 0.2599 0.5077  1 P 2.26
10 S 0.2522 0.7444 0.9923  1 P 2.26
11 S 0.7478 0.2556 0.0077  1 P 2.26
12 S 0.7478 0.7401 0.4923  1 P 2.26
13 S 0.7515 0.7368 0.0147  1 P 2.09
14 S 0.7779 0.2632 0.5147  1 P 2.09

## Properties
Total energy = -4.985 eV/atom
Formation energy without anion corrections = -0.93 eV per atom
Magnetic moment = 0.0 Bohr magnetons per cell



# 3
MgTe | GGA-PBE | relaxed

Unit cell a=4.2272 b=4.2272 c=4.2272 alpha=60.00 beta=60.00 gamma=60.00
With the nearest neighbours (Å) after each atom.
Fractional positions:
1 Mg 0.0000 0.0000 0.0000  6 Te 2.99
2 Te 0.5000 0.5000 0.5000  6 Mg 2.99

## Properties
Total energy = -3.183 eV/atom
Formation energy without anion corrections = -0.81 eV per atom
Magnetic moment = 0.0 Bohr magnetons per cell



# 4
ScSiBrF2 | GGA-PBE | relaxed

Unit cell a=4.4167 b=4.4167 c=5.3168 alpha=90.00 beta=90.00 gamma=90.00
With the nearest neighbours (Å) after each atom.
Fractional positions:
1 Sc 0.0000 0.0000 0.0000  2 Br 2.66
2 Si 0.5000 0.5000 0.0000  4 Sc 3.12, 8 F 3.46
3 Br 0.0000 0.0000 0.5000  4 F 2.21
4 F 0.0000 0.5000 0.5000  2 Br 2.21
5 F 0.5000 0.0000 0.5000  2 Br 2.21

## Properties
Total energy = -3.729 eV/atom
Formation energy without anion corrections = -0.29 eV per atom
Magnetic moment = 0.0 Bohr magnetons per cell



# 5
RbLiHg2Bi | GGA-PBE | relaxed

Unit cell a=6.0309 b=6.0309 c=5.3806 alpha=90.00 beta=90.00 gamma=90.00
With the nearest neighbours (Å) after each atom.
Fractional positions:
1 Rb 0.0000 0.0000 0.0000  8 Hg 4.04, 4 Li 4.26
2 Li 0.5000 0.5000 0.0000  2 Bi 2.69
3 Hg 0.0000 0.5000 0.5000  2 Bi 3.02
4 Hg 0.5000 0.0000 0.5000  2 Bi 3.02
5 Bi 0.5000 0.5000 0.5000  2 Li 2.69

## Properties
Total energy = -1.616 eV/atom
E above lowest polymorph = 30.0 meV/atom
Energy relative to the elements = -143 meV per atom
Magnetic moment = 0.0 Bohr magnetons per cell



# 6
Al2SbMoN | GGA-PBE | relaxed

Unit cell a=5.3840 b=5.3840 c=3.9666 alpha=90.00 beta=90.00 gamma=90.00
With the nearest neighbours (Å) after each atom.
Fractional positions:
1 Al 0.0000 0.5000 0.0000  2 Sb 2.69
2 Al 0.5000 0.0000 0.0000  2 Sb 2.69
3 Sb 0.0000 0.0000 0.0000  2 N 1.98
4 Mo 0.5000 0.5000 0.5000  8 Al 3.34
5 N 0.0000 0.0000 0.5000  2 Sb 1.98

## Properties
Total energy = -4.450 eV/atom
E above lowest polymorph = 398.4 meV/atom
Formation energy without anion corrections = 1.70 eV per atom
Magnetic moment = 4.5 Bohr magnetons per cell



# 7
LaTb6Pr3Dy2 | GGA-PBE | relaxed

Unit cell a=6.2649 b=6.2649 c=11.9505 alpha=95.00 beta=95.00 gamma=119.99
With the nearest neighbours (Å) after each atom.
Fractional positions:
1 La 0.0000 0.0000 0.0000  6 Tb 3.59, 6 Dy 3.62
2 Tb 0.0831 0.4176 0.2480  2 Dy 3.58-3.59, 1 La 3.59, 6 Tb 3.61-3.63, 3 Pr 3.62-3.63
3 Tb 0.2516 0.2516 0.7518  2 Dy 3.59, 1 La 3.59, 6 Tb 3.61-3.63, 3 Pr 3.62-3.63
4 Tb 0.4176 0.0831 0.2480  2 Dy 3.58-3.59, 1 La 3.59, 6 Tb 3.61-3.63, 3 Pr 3.62-3.63
5 Tb 0.5824 0.9169 0.7520  2 Dy 3.58-3.59, 1 La 3.59, 6 Tb 3.61-3.63, 3 Pr 3.62-3.63
6 Tb 0.7484 0.7484 0.2482  2 Dy 3.59, 1 La 3.59, 6 Tb 3.61-3.63, 3 Pr 3.62-3.63
7 Tb 0.9169 0.5824 0.7520  2 Dy 3.58-3.59, 1 La 3.59, 6 Tb 3.61-3.63, 3 Pr 3.62-3.63
8 Pr 0.1670 0.8330 0.5000  6 Pr 3.61-3.62, 6 Tb 3.62-3.63
9 Pr 0.5000 0.5000 0.5000  6 Pr 3.61-3.62, 6 Tb 3.62-3.63
10 Pr 0.8330 0.1670 0.5000  6 Pr 3.61-3.62, 6 Tb 3.62-3.63
11 Dy 0.3333 0.6667 0.0000  6 Tb 3.58-3.59, 3 La 3.62, 3 Dy 3.62
12 Dy 0.6667 0.3333 0.0000  6 Tb 3.58-3.59, 3 La 3.62, 3 Dy 3.62

## Properties
Total energy = -4.670 eV/atom
Energy relative to the elements = 18 meV per atom
Magnetic moment = 0.0 Bohr magnetons per cell



# 8
Li2CdAsS4 | GGA-PBE | relaxed

Unit cell a=7.4715 b=7.4715 c=7.4715 alpha=122.22 beta=119.06 gamma=88.92
With the nearest neighbours (Å) after each atom.
Fractional positions:
1 Li 0.0000 0.0000 0.0000  6 S 2.58-2.59
2 Li 0.5000 0.0000 0.0000  6 S 2.69-2.80
3 Li 0.5000 0.0000 0.5000  6 S 2.58-2.59
4 Li 0.5000 0.5000 0.5000  6 S 2.69-2.80
5 Cd 0.0000 0.5000 0.5000  6 S 2.66-2.75
6 Cd 0.5000 0.5000 0.0000  6 S 2.66-2.75
7 As 0.0000 0.0000 0.5000  6 S 2.54-2.55
8 As 0.0000 0.5000 0.0000  6 S 2.54-2.55
9 S 0.2299 0.2423 0.9876  2 As 2.55, 3 Li 2.59-2.69, 1 Cd 2.75
10 S 0.2376 0.2299 0.4922  1 As 2.54, 3 Li 2.58-2.80, 2 Cd 2.66
11 S 0.2376 0.7454 0.0078  1 As 2.54, 3 Li 2.58-2.80, 2 Cd 2.66
12 S 0.2453 0.7577 0.4876  2 As 2.55, 3 Li 2.59-2.69, 1 Cd 2.75
13 S 0.7547 0.2423 0.5124  2 As 2.55, 3 Li 2.59-2.69, 1 Cd 2.75
14 S 0.7624 0.2546 0.9922  1 As 2.54, 3 Li 2.58-2.80, 2 Cd 2.66
15 S 0.7624 0.7701 0.5078  1 As 2.54, 3 Li 2.58-2.80, 2 Cd 2.66
16 S 0.7701 0.7577 0.0124  2 As 2.55, 3 Li 2.59-2.69, 1 Cd 2.75

## Properties
Total energy = -3.812 eV/atom
Formation energy without anion corrections = -0.57 eV per atom
Magnetic moment = 0.0 Bohr magnetons per cell